Record 1
# Ba2BeTeIr

Crystalline Ba2BeTeIr at its relaxed geometry (GGA-PBE, Alexandria).

Properties
The formation energy without anion corrections is -542 meV/atom. The volume is 32.3 Å³/atom.

a = 6.067 Å, b = 6.067 Å, c = 4.383 Å
α = 90.00°, β = 90.00°, γ = 90.00°
Space group P4/mmm (No. 123)
Symmetry-distinct sites (fractional):
Ba 0.000 0.500 0.000 (multiplicity 2)
Be 0.000 0.000 0.500 (multiplicity 1)
Te 0.500 0.500 0.500 (multiplicity 1)
Ir 0.000 0.000 0.000 (multiplicity 1)

Record 2
# BaBeTl2Ir

Crystalline BaBeTl2Ir at its relaxed geometry (GGA-PBE, Alexandria).

Properties
The volume is 24.3 Å³/atom. The formation enthalpy at 0 K is 0.214 eV/atom.

a = 5.094 Å, b = 5.094 Å, c = 4.690 Å
α = 90.00°, β = 90.00°, γ = 90.00°
Space group P4/mmm (No. 123)
Symmetry-distinct sites (fractional):
Ba 0.000 0.000 0.000 (multiplicity 1)
Be 0.500 0.500 0.500 (multiplicity 1)
Tl 0.000 0.500 0.500 (multiplicity 2)
Ir 0.500 0.500 0.000 (multiplicity 1)

Record 3
# BaBeZn2Ir

Crystalline BaBeZn2Ir at its relaxed geometry (GGA-PBE, Alexandria).

Properties
The volume is 21.8 Å³/atom. The formation enthalpy at 0 K is -0.239 eV/atom.

a = 4.943 Å, b = 4.943 Å, c = 4.466 Å
α = 90.00°, β = 90.00°, γ = 90.00°
Space group P4/mmm (No. 123)
Symmetry-distinct sites (fractional):
Ba 0.000 0.000 0.000 (multiplicity 1)
Be 0.500 0.500 0.000 (multiplicity 1)
Zn 0.000 0.500 0.500 (multiplicity 2)
Ir 0.500 0.500 0.500 (multiplicity 1)

Record 4
# K4BaBe

Crystalline K4BaBe at its relaxed geometry (GGA-PBE, Alexandria).

Properties
The volume is 59.6 Å³/atom. The formation enthalpy at 0 K is 0.659 eV/atom.

a = 11.267 Å, b = 11.267 Å, c = 11.267 Å
α = 90.00°, β = 90.00°, γ = 90.00°
Space group F-43m (No. 216)
Symmetry-distinct sites (fractional):
K 0.124 0.124 0.376 (multiplicity 16)
Ba 0.000 0.000 0.000 (multiplicity 4)
Be 0.250 0.250 0.750 (multiplicity 4)

Record 5
# KBaBe2

Crystalline KBaBe2 at its relaxed geometry (GGA-PBE, Alexandria).

Properties
The value obtained for the energy above the most stable polymorph in this dataset is 0.5378 eV per atom. The volume is 36.7 Å³/atom. The formation enthalpy at 0 K is 1.070 eV/atom.

a = 8.397 Å, b = 3.964 Å, c = 8.979 Å
α = 90.00°, β = 101.04°, γ = 90.00°
Space group C2/m (No. 12)
Symmetry-distinct sites (fractional):
K 0.000 0.000 0.000 (multiplicity 2)
Ba 0.000 0.500 0.500 (multiplicity 2)
Be 0.245 0.000 0.733 (multiplicity 4)

Record 6
# KBaBe2

Crystalline KBaBe2 at its relaxed geometry (GGA-PBE, Alexandria).

Properties
The value obtained for the energy above the most stable polymorph in this dataset is 0.2371 eV per atom. The volume is 39.2 Å³/atom. The formation enthalpy at 0 K is 0.769 eV/atom.

a = 4.950 Å, b = 3.997 Å, c = 7.929 Å
α = 90.00°, β = 90.07°, γ = 90.00°
Space group P2/m (No. 10)
Symmetry-distinct sites (fractional):
K 0.000 0.000 0.000 (multiplicity 1)
Ba 0.500 0.000 0.500 (multiplicity 1)
Be 0.000 0.500 0.370 (multiplicity 2)

Record 7
# KBaBe

Crystalline KBaBe at its relaxed geometry (GGA-PBE, Alexandria).

Properties
The value obtained for the energy above the most stable polymorph in this dataset is 0.0000 eV per atom. The volume is 43.0 Å³/atom. The formation enthalpy at 0 K is 0.573 eV/atom.

a = 4.048 Å, b = 4.048 Å, c = 15.757 Å
α = 90.00°, β = 90.00°, γ = 90.00°
Space group I4mm (No. 107)
Symmetry-distinct sites (fractional):
K 0.000 0.000 0.000 (multiplicity 2)
Ba 0.000 0.000 0.247 (multiplicity 2)
Be 0.000 0.000 0.642 (multiplicity 2)

Record 8
# KBaBe2

Crystalline KBaBe2 at its relaxed geometry (GGA-PBE, Alexandria).

Properties
The value obtained for the energy above the most stable polymorph in this dataset is 0.0603 eV per atom. The volume is 29.5 Å³/atom. The formation enthalpy at 0 K is 0.592 eV/atom.

a = 4.151 Å, b = 5.897 Å, c = 9.633 Å
α = 90.00°, β = 90.00°, γ = 90.00°
Space group Imm2 (No. 44)
Symmetry-distinct sites (fractional):
K 0.000 0.000 0.000 (multiplicity 2)
Ba 0.000 0.500 0.823 (multiplicity 2)
Be 0.000 0.000 0.637 (multiplicity 2)
Be 0.000 0.500 0.181 (multiplicity 2)

Record 9
# KBaBe

Crystalline KBaBe at its relaxed geometry (GGA-PBE, Alexandria).

Properties
The value obtained for the energy above the most stable polymorph in this dataset is 0.0984 eV per atom. The volume is 50.5 Å³/atom. The formation enthalpy at 0 K is 0.672 eV/atom.

a = 4.6600 Å, b = 4.6600 Å, c = 8.0511 Å
α = 90.00°, β = 90.00°, γ = 120.00°
Space group P3m1 (No. 156)
Symmetry-distinct sites (fractional):
K 0.0000 0.0000 0.0000 (multiplicity 1)
Ba 0.6667 0.3333 0.5206 (multiplicity 1)
Be 0.3333 0.6667 0.7365 (multiplicity 1)

Record 10
# KBaBe2

Crystalline KBaBe2 at its relaxed geometry (GGA-PBE, Alexandria).

Properties
The value obtained for the energy above the most stable polymorph in this dataset is 0.3709 eV per atom. The volume is 30.3 Å³/atom. The formation enthalpy at 0 K is 0.903 eV/atom.

a = 7.853 Å, b = 7.853 Å, c = 7.853 Å
α = 90.00°, β = 90.00°, γ = 90.00°
Space group Fm-3m (No. 225)
Symmetry-distinct sites (fractional):
K 0.000 0.000 0.000 (multiplicity 4)
Ba 0.000 0.000 0.500 (multiplicity 4)
Be 0.250 0.250 0.250 (multiplicity 8)

Record 11
# KBa3Be

Crystalline KBa3Be at its relaxed geometry (GGA-PBE, Alexandria).

Properties
The value obtained for the energy above the most stable polymorph in this dataset is 0.8955 eV per atom. The volume is 63.8 Å³/atom. The formation enthalpy at 0 K is 1.196 eV/atom.

a = 6.831 Å, b = 6.831 Å, c = 6.831 Å
α = 90.00°, β = 90.00°, γ = 90.00°
Space group Pm-3m (No. 221)
Symmetry-distinct sites (fractional):
K 0.000 0.000 0.000 (multiplicity 1)
Ba 0.000 0.000 0.500 (multiplicity 3)
Be 0.500 0.500 0.500 (multiplicity 1)

Record 12
# KBaBe3

Crystalline KBaBe3 at its relaxed geometry (GGA-PBE, Alexandria).

Properties
The value obtained for the energy above the most stable polymorph in this dataset is 0.0612 eV per atom. The volume is 41.5 Å³/atom. The formation enthalpy at 0 K is 1.653 eV/atom.

a = 5.920 Å, b = 5.920 Å, c = 5.920 Å
α = 90.00°, β = 90.00°, γ = 90.00°
Space group Pm-3m (No. 221)
Symmetry-distinct sites (fractional):
K 0.000 0.000 0.000 (multiplicity 1)
Ba 0.500 0.500 0.500 (multiplicity 1)
Be 0.000 0.500 0.500 (multiplicity 3)

What did the second record say?
# BaBeTl2Ir

Crystalline BaBeTl2Ir at its relaxed geometry (GGA-PBE, Alexandria).

Properties
The volume is 24.3 Å³/atom. The formation enthalpy at 0 K is 0.214 eV/atom.

a = 5.094 Å, b = 5.094 Å, c = 4.690 Å
α = 90.00°, β = 90.00°, γ = 90.00°
Space group P4/mmm (No. 123)
Symmetry-distinct sites (fractional):
Ba 0.000 0.000 0.000 (multiplicity 1)
Be 0.500 0.500 0.500 (multiplicity 1)
Tl 0.000 0.500 0.500 (multiplicity 2)
Ir 0.500 0.500 0.000 (multiplicity 1)

Question: The highest volume belongs to which entry?
Answer: KBa3Be

Repeat the ninth record exactly.
# KBaBe

Crystalline KBaBe at its relaxed geometry (GGA-PBE, Alexandria).

Properties
The value obtained for the energy above the most stable polymorph in this dataset is 0.0984 eV per atom. The volume is 50.5 Å³/atom. The formation enthalpy at 0 K is 0.672 eV/atom.

a = 4.6600 Å, b = 4.6600 Å, c = 8.0511 Å
α = 90.00°, β = 90.00°, γ = 120.00°
Space group P3m1 (No. 156)
Symmetry-distinct sites (fractional):
K 0.0000 0.0000 0.0000 (multiplicity 1)
Ba 0.6667 0.3333 0.5206 (multiplicity 1)
Be 0.3333 0.6667 0.7365 (multiplicity 1)